Entry 1:
Here is Sc2AlIr after structural relaxation from Alexandria. Energies are from PBE-GGA.

Computed properties:
**VASP energy**: -28.114 eV/cell
**Excess energy over the best structure of this formula in the dataset**: 0.161 eV/f.u.
**Crystal system**: cubic
**Formation enthalpy at 0 K**: -0.712 eV per atom
**Volume**: 17.08 A^3/atom
**Magnetization**: 0.000 μB/atom

Lattice parameters (Å, degrees): 4.588 4.588 4.588 60.00 60.00 60.00
Element x y z (fractional)
Sc1 0.000 0.000 0.000
Sc2 0.250 0.250 0.250
Al1 0.500 0.500 0.500
Ir1 0.750 0.750 0.750

Entry 2:
Here is BTePt3 after structural relaxation from Alexandria. Energies are from PBE-GGA.

Computed properties:
**VASP energy**: -27.779 eV/cell
**Excess energy over the best structure of this formula in the dataset**: 0.000 eV/f.u.
**Crystal system**: cubic
**Volume**: 16.26 A^3/atom
**Magnetization**: 0.000 μB/atom

Lattice parameters (Å, degrees): 4.332 4.332 4.332 90.00 90.00 90.00
Element x y z (fractional)
Pt1 0.000 0.000 0.500
Pt2 0.500 0.000 0.000
Pt3 0.000 0.500 0.000
B1 0.000 0.000 0.000
Te1 0.500 0.500 0.500

Entry 3:
Here is Sc4GaHgAu2 after structural relaxation from Alexandria. Energies are from PBE-GGA.

Computed properties:
**VASP energy**: -40.427 eV/cell
**Crystal system**: trigonal
**Formation enthalpy at 0 K**: -0.652 eV per atom
**Volume**: 20.16 A^3/atom
**Magnetization**: 0.000 μB/atom

Lattice parameters (Å, degrees): 4.847 4.847 8.404 73.24 73.24 60.00
Element x y z (fractional)
Ga1 0.500 0.500 0.500
Sc1 0.377 0.377 0.868
Sc2 0.623 0.623 0.132
Sc3 0.127 0.127 0.619
Sc4 0.873 0.873 0.381
Au1 0.248 0.248 0.255
Au2 0.752 0.752 0.745
Hg1 0.000 0.000 0.000

Entry 4:
Here is Er2ScTc after structural relaxation from Alexandria. Energies are from PBE-GGA.

Computed properties:
**VASP energy**: -24.742 eV/cell
**Excess energy over the best structure of this formula in the dataset**: 1.653 eV/f.u.
**Crystal system**: trigonal
**Formation enthalpy at 0 K**: 0.270 eV per atom
**Volume**: 25.03 A^3/atom
**Magnetization**: 0.001 μB/atom

Lattice parameters (Å, degrees): 3.324 3.324 10.637 81.01 81.01 60.00
Element x y z (fractional)
Er1 0.101 0.101 0.696
Er2 0.899 0.899 0.304
Sc1 0.000 0.000 0.000
Tc1 0.500 0.500 0.500

Entry 5:
Here is Mg14BiMo after structural relaxation from Alexandria. Energies are from PBE-GGA.

Computed properties:
**VASP energy**: -35.554 eV/cell
**Excess energy over the best structure of this formula in the dataset**: 0.313 eV/f.u.
**Crystal system**: orthorhombic
**Formation enthalpy at 0 K**: 0.093 eV per atom
**Volume**: 22.33 A^3/atom
**Magnetization**: 0.121 μB/atom

Lattice parameters (Å, degrees): 6.325 6.325 10.320 90.00 90.00 120.06
Each line ends with the local moment (μB).
Element x y z (fractional)
Mg1 0.672 0.328 0.259  0.00
Mg2 0.333 0.166 0.500  -0.01
Mg3 0.156 0.323 0.744  0.00
Mg4 0.834 0.667 0.500  -0.01
Mg5 0.677 0.844 0.744  0.00
Mg6 0.336 0.170 0.000  0.00
Mg7 0.156 0.323 0.256  0.00
Mg8 0.830 0.664 0.000  0.00
Mg9 0.164 0.836 0.242  0.01
Mg10 0.335 0.665 0.000  0.00
Mg11 0.677 0.844 0.256  0.00
Mg12 0.833 0.167 0.000  0.00
Mg13 0.164 0.836 0.758  0.01
Mg14 0.672 0.328 0.741  0.00
Bi1 0.328 0.672 0.500  0.00
Mo1 0.835 0.165 0.500  1.64

Entry 6:
Here is Sc8Pa after structural relaxation from Alexandria. Energies are from PBE-GGA.

Computed properties:
**VASP energy**: -59.576 eV/cell
**Crystal system**: tetragonal
**Formation enthalpy at 0 K**: 0.064 eV per atom
**Volume**: 24.32 A^3/atom
**Magnetization**: 0.000 μB/atom

Lattice parameters (Å, degrees): 4.677 7.230 7.230 83.99 71.13 71.13
Element x y z (fractional)
Pa1 0.000 0.000 0.000
Sc1 0.340 0.320 0.000
Sc2 0.660 0.000 0.680
Sc3 0.660 0.680 0.000
Sc4 0.000 0.672 0.328
Sc5 0.340 0.000 0.320
Sc6 0.000 0.328 0.672
Sc7 0.328 0.672 0.672
Sc8 0.672 0.328 0.328